SmSc2C: optimized geometry, PBE.

Calculated density: 4.71 g/cm3
Total DFT energy (no corrections): -27.44 eV per cell
Space group: R-3m
Size of the total moment: 0.37 μB/f.u.

Lattice parameters (Å, degrees): 3.333 3.333 9.448 79.84 79.84 60.00
Atoms (fractional coordinates):
1 Sc 0.123 0.123 0.632
2 Sm 0.000 0.000 0.000
3 C 0.500 0.500 0.500
4 Sc 0.877 0.877 0.368